VASP calculation (PBE-GGA) on a relaxed PmPuAlZn crystal.

Calculated volume = 97.01 Å³/cell
E_form = -0.66 eV per formula unit
Calculated total energy = -24.76 eV/cell

Lattice parameters (Å, degrees): 5.1576 5.1576 5.1576 60.00 60.00 60.00
Closest atoms and distances in Å follow each position.
Atoms (fractional coordinates):
1 Pm 0.0000 0.0000 0.0000  4 Zn 3.16, 4 Al 3.16
2 Pu 0.5000 0.5000 0.5000  4 Al 3.16, 4 Zn 3.16
3 Al 0.7500 0.7500 0.7500  4 Pu 3.16, 4 Pm 3.16
4 Zn 0.2500 0.2500 0.2500  4 Pu 3.16, 4 Pm 3.16